1.
The following is a PBE calculation of an optimized crystal structure of LaAl2B, from the Alexandria database.

a = 7.473 Å, b = 7.473 Å, c = 6.008 Å
α = 51.54°, β = 51.54°, γ = 90.00°
Element x y z (fractional)
B: 0.500 0.500 0.000
B: 0.250 0.750 0.500
Al: 0.526 0.125 0.250
Al: 0.224 0.625 0.250
Al: 0.375 0.474 0.750
Al: 0.875 0.776 0.750
La: 0.000 0.000 0.000
La: 0.750 0.250 0.500

Properties
Total magnetic moment in Bohr magnetons per cell: 0.00
E in eV per atom: -4.702
DOS at the Fermi energy in states/eV/atom: 0.3503
ΔH_f (0 K) in eV per atom: 0.07

2.
The following is a PBE calculation of an optimized crystal structure of LaAlB3, from the Alexandria database.

a = 4.752 Å, b = 4.752 Å, c = 4.752 Å
α = 90.00°, β = 90.00°, γ = 90.00°
Element x y z (fractional)
B: 0.000 0.500 0.000
B: 0.000 0.000 0.500
B: 0.500 0.000 0.000
Al: 0.500 0.500 0.500
La: 0.000 0.000 0.000

Properties
Total magnetic moment in Bohr magnetons per cell: 0.00
E in eV per atom: -3.393
DOS at the Fermi energy in states/eV/atom: 0.8210
ΔH_f (0 K) in eV per atom: 2.35

3.
The following is a PBE calculation of an optimized crystal structure of LaAlB3, from the Alexandria database.

a = 4.218 Å, b = 4.218 Å, c = 4.218 Å
α = 90.00°, β = 90.00°, γ = 90.00°
Element x y z (fractional)
B: 0.000 0.500 0.000
B: 0.000 0.000 0.500
B: 0.500 0.000 0.000
Al: 0.000 0.000 0.000
La: 0.500 0.500 0.500

Properties
Total magnetic moment in Bohr magnetons per cell: 0.00
E in eV per atom: -4.987
DOS at the Fermi energy in states/eV/atom: 0.5321
ΔH_f (0 K) in eV per atom: 0.75